Crystalline LiWAu4 at its relaxed geometry, computed with PBE-GGA.

Lattice parameters (Å, degrees): 5.4443 5.4443 5.4443 60.00 60.00 60.00
Last column: nearest neighbours and their distance in Å.
Atoms (fractional coordinates):
1 Li 0.0000 0.0000 0.0000  12 Au 3.19, 4 W 3.33
2 W 0.7500 0.7500 0.7500  12 Au 3.19, 4 Li 3.33
3 Au 0.3749 0.3749 0.3749  6 Au 2.72
4 Au 0.3749 0.3749 0.8753  6 Au 2.72
5 Au 0.3749 0.8753 0.3749  6 Au 2.72
6 Au 0.8753 0.3749 0.3749  6 Au 2.72

**Energy of formation**: 511 meV per atom
**Raw total energy**: -4.152 eV/atom
**Density of states at the Fermi level**: 0.477 states/eV per atom